one.
First-principles (PBE-GGA) data for a relaxed structure of NbIrRh, as listed in Alexandria.

Results
- DOS at the Fermi energy (states/eV/cell) = 5.22
- space group = P6_3/mmc

Cell and atoms, written as CIF:
```
data_NbIrRh
_cell_length_a 4.431
_cell_length_b 4.430
_cell_length_c 5.508
_cell_angle_alpha 90.00
_cell_angle_beta 90.00
_cell_angle_gamma 120.01
_symmetry_space_group_name_H-M 'P 1'
_symmetry_Int_Tables_number 1
_symmetry_space_group_name_Hall 'P 1'
loop_
_atom_site_label
_atom_site_type_symbol
_atom_site_fract_x
_atom_site_fract_y
_atom_site_fract_z
Nb1 Nb 0.667 0.833 0.750
Nb2 Nb 0.333 0.167 0.250
Ir1 Ir 0.000 0.500 0.000
Ir2 Ir 0.000 0.500 0.500
Rh1 Rh 0.667 0.833 0.250
Rh2 Rh 0.333 0.167 0.750
```

two.
First-principles (PBE-GGA) data for a relaxed structure of NbIrRh, as listed in Alexandria.

Results
- DOS at the Fermi energy (states/eV/cell) = 8.30
- space group = P6_3/mmc

Cell and atoms, written as CIF:
```
data_NbIrRh
_cell_length_a 4.419
_cell_length_b 4.419
_cell_length_c 5.596
_cell_angle_alpha 90.00
_cell_angle_beta 90.00
_cell_angle_gamma 120.00
_symmetry_space_group_name_H-M 'P 1'
_symmetry_Int_Tables_number 1
_symmetry_space_group_name_Hall 'P 1'
loop_
_atom_site_label
_atom_site_type_symbol
_atom_site_fract_x
_atom_site_fract_y
_atom_site_fract_z
Nb1 Nb 0.500 0.000 0.500
Nb2 Nb 0.500 0.000 0.000
Rh1 Rh 0.167 0.333 0.250
Rh2 Rh 0.833 0.667 0.750
Ir1 Ir 0.167 0.333 0.750
Ir2 Ir 0.833 0.667 0.250
```

Energy ordering: one at the bottom, the next structure 22.0 kJ/mol of atoms above.

one.
First-principles (PBE-GGA) data for a relaxed structure of NbIrRh, as listed in Alexandria.

Results
- DOS at the Fermi energy (states/eV/cell) = 4.32
- space group = P-6m2

Cell and atoms, written as CIF:
```
data_NbIrRh
_cell_length_a 2.804
_cell_length_b 4.412
_cell_length_c 4.412
_cell_angle_alpha 120.00
_cell_angle_beta 90.00
_cell_angle_gamma 90.00
_symmetry_space_group_name_H-M 'P 1'
_symmetry_Int_Tables_number 1
_symmetry_space_group_name_Hall 'P 1'
loop_
_atom_site_label
_atom_site_type_symbol
_atom_site_fract_x
_atom_site_fract_y
_atom_site_fract_z
Nb1 Nb 0.667 0.333 0.667
Ir1 Ir 0.167 0.000 0.000
Rh1 Rh 0.167 0.667 0.333
```

two.
First-principles (PBE-GGA) data for a relaxed structure of NbIrRh, as listed in Alexandria.

Results
- DOS at the Fermi energy (states/eV/cell) = 4.60
- space group = P2_1/m

Cell and atoms, written as CIF:
```
data_NbIrRh
_cell_length_a 4.901
_cell_length_b 4.445
_cell_length_c 4.949
_cell_angle_alpha 90.00
_cell_angle_beta 120.14
_cell_angle_gamma 90.00
_symmetry_space_group_name_H-M 'P 1'
_symmetry_Int_Tables_number 1
_symmetry_space_group_name_Hall 'P 1'
loop_
_atom_site_label
_atom_site_type_symbol
_atom_site_fract_x
_atom_site_fract_y
_atom_site_fract_z
Nb1 Nb 0.997 0.250 0.189
Nb2 Nb 0.003 0.750 0.811
Ir1 Ir 0.339 0.250 0.835
Ir2 Ir 0.661 0.750 0.165
Rh1 Rh 0.657 0.250 0.492
Rh2 Rh 0.343 0.750 0.508
```

three.
First-principles (PBE-GGA) data for a relaxed structure of NbIrRh, as listed in Alexandria.

Results
- DOS at the Fermi energy (states/eV/cell) = 4.03
- space group = I4mm

Cell and atoms, written as CIF:
```
data_NbIrRh
_cell_length_a 2.812
_cell_length_b 2.812
_cell_length_c 6.234
_cell_angle_alpha 103.03
_cell_angle_beta 103.03
_cell_angle_gamma 90.00
_symmetry_space_group_name_H-M 'P 1'
_symmetry_Int_Tables_number 1
_symmetry_space_group_name_Hall 'P 1'
loop_
_atom_site_label
_atom_site_type_symbol
_atom_site_fract_x
_atom_site_fract_y
_atom_site_fract_z
Nb1 Nb 0.668 0.668 0.335
Ir1 Ir 0.334 0.334 0.667
Rh1 Rh 0.999 0.999 0.998
```

Energy ordering: two at the bottom, the next structure 12.9 kJ/mol of atoms above.

one.
First-principles (PBE-GGA) data for a relaxed structure of Nb2IrRu4, as listed in Alexandria.

Results
- DOS at the Fermi energy (states/eV/cell) = 17.98
- space group = P4_2/mnm

Cell and atoms, written as CIF:
```
data_Nb2IrRu4
_cell_length_a 4.405
_cell_length_b 7.281
_cell_length_c 7.281
_cell_angle_alpha 90.00
_cell_angle_beta 90.00
_cell_angle_gamma 90.00
_symmetry_space_group_name_H-M 'P 1'
_symmetry_Int_Tables_number 1
_symmetry_space_group_name_Hall 'P 1'
loop_
_atom_site_label
_atom_site_type_symbol
_atom_site_fract_x
_atom_site_fract_y
_atom_site_fract_z
Nb1 Nb 0.000 0.200 0.800
Nb2 Nb 0.000 0.800 0.200
Nb3 Nb 0.500 0.700 0.700
Nb4 Nb 0.500 0.300 0.300
Ir1 Ir 0.500 0.000 0.000
Ir2 Ir 0.000 0.500 0.500
Ru1 Ru 0.000 0.149 0.419
Ru2 Ru 0.000 0.851 0.581
Ru3 Ru 0.500 0.081 0.649
Ru4 Ru 0.500 0.919 0.351
Ru5 Ru 0.500 0.351 0.919
Ru6 Ru 0.500 0.649 0.081
Ru7 Ru 0.000 0.419 0.149
Ru8 Ru 0.000 0.581 0.851
```

two.
First-principles (PBE-GGA) data for a relaxed structure of Nb2IrRu4, as listed in Alexandria.

Results
- DOS at the Fermi energy (states/eV/cell) = 13.77
- space group = P2_1/c

Cell and atoms, written as CIF:
```
data_Nb2IrRu4
_cell_length_a 9.583
_cell_length_b 5.024
_cell_length_c 5.190
_cell_angle_alpha 118.68
_cell_angle_beta 90.00
_cell_angle_gamma 90.00
_symmetry_space_group_name_H-M 'P 1'
_symmetry_Int_Tables_number 1
_symmetry_space_group_name_Hall 'P 1'
loop_
_atom_site_label
_atom_site_type_symbol
_atom_site_fract_x
_atom_site_fract_y
_atom_site_fract_z
Nb1 Nb 0.967 0.659 0.318
Nb2 Nb 0.033 0.341 0.682
Nb3 Nb 0.467 0.841 0.682
Nb4 Nb 0.533 0.159 0.318
Ir1 Ir 0.000 0.000 0.000
Ir2 Ir 0.500 0.500 0.000
Ru1 Ru 0.752 0.697 0.900
Ru2 Ru 0.693 0.701 0.405
Ru3 Ru 0.807 0.201 0.405
Ru4 Ru 0.748 0.197 0.900
Ru5 Ru 0.252 0.803 0.100
Ru6 Ru 0.193 0.799 0.595
Ru7 Ru 0.307 0.299 0.595
Ru8 Ru 0.248 0.303 0.100
```

Energy ordering: two at the bottom, the next structure 22.3 kJ/mol of atoms above.

one.
First-principles (PBE-GGA) data for a relaxed structure of NbIrRu3, as listed in Alexandria.

Results
- DOS at the Fermi energy (states/eV/cell) = 10.65
- space group = Pm-3m

Cell and atoms, written as CIF:
```
data_NbIrRu3
_cell_length_a 4.632
_cell_length_b 4.632
_cell_length_c 4.632
_cell_angle_alpha 90.00
_cell_angle_beta 90.00
_cell_angle_gamma 90.00
_symmetry_space_group_name_H-M 'P 1'
_symmetry_Int_Tables_number 1
_symmetry_space_group_name_Hall 'P 1'
loop_
_atom_site_label
_atom_site_type_symbol
_atom_site_fract_x
_atom_site_fract_y
_atom_site_fract_z
Ru1 Ru 0.000 0.500 0.000
Ru2 Ru 0.000 0.000 0.500
Ru3 Ru 0.500 0.000 0.000
Nb1 Nb 0.500 0.500 0.500
Ir1 Ir 0.000 0.000 0.000
```

two.
First-principles (PBE-GGA) data for a relaxed structure of NbIrRu3, as listed in Alexandria.

Results
- DOS at the Fermi energy (states/eV/cell) = 8.52
- space group = R-3m

Cell and atoms, written as CIF:
```
data_NbIrRu3
_cell_length_a 5.323
_cell_length_b 5.323
_cell_length_c 5.077
_cell_angle_alpha 58.38
_cell_angle_beta 58.38
_cell_angle_gamma 60.00
_symmetry_space_group_name_H-M 'P 1'
_symmetry_Int_Tables_number 1
_symmetry_space_group_name_Hall 'P 1'
loop_
_atom_site_label
_atom_site_type_symbol
_atom_site_fract_x
_atom_site_fract_y
_atom_site_fract_z
Nb1 Nb 0.475 0.475 0.575
Ir1 Ir 0.975 0.975 0.075
Ru1 Ru 0.475 0.975 0.575
Ru2 Ru 0.975 0.475 0.575
Ru3 Ru 0.975 0.975 0.575
```

three.
First-principles (PBE-GGA) data for a relaxed structure of NbIrRu3, as listed in Alexandria.

Results
- DOS at the Fermi energy (states/eV/cell) = 6.94
- space group = Pm-3m

Cell and atoms, written as CIF:
```
data_NbIrRu3
_cell_length_a 4.614
_cell_length_b 4.614
_cell_length_c 4.614
_cell_angle_alpha 90.00
_cell_angle_beta 90.00
_cell_angle_gamma 90.00
_symmetry_space_group_name_H-M 'P 1'
_symmetry_Int_Tables_number 1
_symmetry_space_group_name_Hall 'P 1'
loop_
_atom_site_label
_atom_site_type_symbol
_atom_site_fract_x
_atom_site_fract_y
_atom_site_fract_z
Ru1 Ru 0.000 0.500 0.000
Ru2 Ru 0.000 0.000 0.500
Ru3 Ru 0.500 0.000 0.000
Nb1 Nb 0.000 0.000 0.000
Ir1 Ir 0.500 0.500 0.500
```

Energy ordering: two at the bottom, the next structure 60.2 kJ/mol of atoms above.

one.
First-principles (PBE-GGA) data for a relaxed structure of NbIr2Ru2, as listed in Alexandria.

Results
- DOS at the Fermi energy (states/eV/cell) = 9.30
- space group = P4/mbm

Cell and atoms, written as CIF:
```
data_NbIr2Ru2
_cell_length_a 7.466
_cell_length_b 7.466
_cell_length_c 2.771
_cell_angle_alpha 90.00
_cell_angle_beta 90.00
_cell_angle_gamma 90.00
_symmetry_space_group_name_H-M 'P 1'
_symmetry_Int_Tables_number 1
_symmetry_space_group_name_Hall 'P 1'
loop_
_atom_site_label
_atom_site_type_symbol
_atom_site_fract_x
_atom_site_fract_y
_atom_site_fract_z
Ru1 Ru 0.378 0.878 0.000
Ru2 Ru 0.878 0.622 0.000
Ru3 Ru 0.622 0.122 0.000
Ru4 Ru 0.122 0.378 0.000
Nb1 Nb 0.000 0.000 0.000
Nb2 Nb 0.500 0.500 0.000
Ir1 Ir 0.174 0.674 0.500
Ir2 Ir 0.674 0.826 0.500
Ir3 Ir 0.826 0.326 0.500
Ir4 Ir 0.326 0.174 0.500
```

two.
First-principles (PBE-GGA) data for a relaxed structure of NbIr2Ru2, as listed in Alexandria.

Results
- DOS at the Fermi energy (states/eV/cell) = 11.24
- space group = P4/mbm

Cell and atoms, written as CIF:
```
data_NbIr2Ru2
_cell_length_a 7.471
_cell_length_b 7.471
_cell_length_c 2.778
_cell_angle_alpha 90.00
_cell_angle_beta 90.00
_cell_angle_gamma 90.00
_symmetry_space_group_name_H-M 'P 1'
_symmetry_Int_Tables_number 1
_symmetry_space_group_name_Hall 'P 1'
loop_
_atom_site_label
_atom_site_type_symbol
_atom_site_fract_x
_atom_site_fract_y
_atom_site_fract_z
Ru1 Ru 0.173 0.673 0.500
Ru2 Ru 0.673 0.827 0.500
Ru3 Ru 0.827 0.327 0.500
Ru4 Ru 0.327 0.173 0.500
Nb1 Nb 0.000 0.000 0.000
Nb2 Nb 0.500 0.500 0.000
Ir1 Ir 0.375 0.875 0.000
Ir2 Ir 0.875 0.625 0.000
Ir3 Ir 0.625 0.125 0.000
Ir4 Ir 0.125 0.375 0.000
```

Energy ordering: one at the bottom, the next structure 1.1 kJ/mol of atoms above.

one.
First-principles (PBE-GGA) data for a relaxed structure of Nb2IrRu3, as listed in Alexandria.

Results
- DOS at the Fermi energy (states/eV/cell) = 7.07
- space group = Immm

Cell and atoms, written as CIF:
```
data_Nb2IrRu3
_cell_length_a 4.919
_cell_length_b 4.701
_cell_length_c 5.510
_cell_angle_alpha 115.25
_cell_angle_beta 116.51
_cell_angle_gamma 90.00
_symmetry_space_group_name_H-M 'P 1'
_symmetry_Int_Tables_number 1
_symmetry_space_group_name_Hall 'P 1'
loop_
_atom_site_label
_atom_site_type_symbol
_atom_site_fract_x
_atom_site_fract_y
_atom_site_fract_z
Nb1 Nb 0.814 0.438 0.628
Nb2 Nb 0.186 0.810 0.372
Ir1 Ir 0.500 0.124 0.000
Ru1 Ru 0.000 0.124 0.000
Ru2 Ru 0.348 0.472 0.696
Ru3 Ru 0.652 0.776 0.304
```

two.
First-principles (PBE-GGA) data for a relaxed structure of Nb2IrRu3, as listed in Alexandria.

Results
- DOS at the Fermi energy (states/eV/cell) = 8.65
- space group = C2/m

Cell and atoms, written as CIF:
```
data_Nb2IrRu3
_cell_length_a 4.315
_cell_length_b 9.232
_cell_length_c 6.714
_cell_angle_alpha 128.68
_cell_angle_beta 90.00
_cell_angle_gamma 103.52
_symmetry_space_group_name_H-M 'P 1'
_symmetry_Int_Tables_number 1
_symmetry_space_group_name_Hall 'P 1'
loop_
_atom_site_label
_atom_site_type_symbol
_atom_site_fract_x
_atom_site_fract_y
_atom_site_fract_z
Nb1 Nb 0.540 0.079 0.880
Nb2 Nb 0.460 0.921 0.120
Nb3 Nb 0.778 0.556 0.268
Nb4 Nb 0.222 0.444 0.732
Ir1 Ir 0.834 0.669 0.930
Ir2 Ir 0.166 0.331 0.070
Ru1 Ru 0.344 0.688 0.618
Ru2 Ru 0.968 0.936 0.615
Ru3 Ru 0.636 0.272 0.735
Ru4 Ru 0.364 0.728 0.265
Ru5 Ru 0.032 0.064 0.385
Ru6 Ru 0.656 0.312 0.382
```

Energy ordering: two at the bottom, the next structure 20.8 kJ/mol of atoms above.